[1]
MnAsP: optimized geometry, GGA-PBE.

Lattice parameters (Å, degrees): 3.992 3.992 3.454 90.00 90.00 120.00
Positions (direct):
As 0.000 0.000 0.001
Mn 0.667 0.333 0.499
P 0.333 0.667 0.500

Summary:
M_tot in μB/cell: 2.64
Calculated formation energy in eV per atom: 0.138
Polymorph energy (0 for the lowest one) in meV per atom: 438

[2]
MnAsP: optimized geometry, GGA-PBE.

Lattice parameters (Å, degrees): 5.957 5.959 5.959 123.56 90.00 90.00
Positions (direct):
As 0.131 0.337 0.913
As 0.131 0.837 0.413
As 0.631 0.163 0.587
As 0.631 0.663 0.087
P 0.866 0.659 0.591
P 0.866 0.159 0.091
P 0.366 0.841 0.909
P 0.366 0.341 0.409
Mn 0.005 0.259 0.491
Mn 0.505 0.741 0.509
Mn 0.505 0.241 0.009
Mn 0.005 0.759 0.991

Summary:
M_tot in μB/cell: 4.01
Calculated formation energy in eV per atom: -0.300
Polymorph energy (0 for the lowest one) in meV per atom: 0